Record 1
Compound: PPd6
Source: Alexandria via LeMat-Bulk
Functional: PBE-GGA
Structure: optimized geometry

```
28
Lattice="9.821 0.000 0.000 0.000 8.834 0.000 0.000 0.000 5.053" Properties=species:S:1:pos:R:3 pbc="T T T"
P 1.229 2.209 0.403
P 3.682 6.626 2.929
P 6.139 2.209 2.123
P 8.592 6.626 4.649
Pd 0.046 6.626 1.438
Pd 0.115 5.065 3.779
Pd 0.115 8.186 3.779
Pd 2.345 6.626 4.712
Pd 2.359 5.061 2.021
Pd 2.359 8.190 2.021
Pd 2.551 0.644 4.547
Pd 2.551 3.773 4.547
Pd 2.566 2.209 2.186
Pd 4.796 0.648 1.252
Pd 4.796 3.769 1.252
Pd 4.864 2.209 3.965
Pd 4.957 6.626 1.088
Pd 5.025 5.065 3.800
Pd 5.025 8.186 3.800
Pd 7.255 6.626 2.866
Pd 7.270 5.061 0.505
Pd 7.270 8.190 0.505
Pd 7.462 0.644 3.032
Pd 7.462 3.773 3.032
Pd 7.476 2.209 0.340
Pd 9.706 0.648 1.274
Pd 9.706 3.769 1.274
Pd 9.775 2.209 3.614
```

**Offset from the most stable computed form**: 35.5 meV per atom
**Crystal system**: orthorhombic
**M_tot**: 0.0 μB/cell



Record 2
Compound: Ba3AsO
Source: Alexandria via LeMat-Bulk
Functional: PBE-GGA
Structure: optimized geometry

```
5
Lattice="5.371 0.000 0.000 0.000 5.371 0.000 0.000 0.000 5.371" Properties=species:S:1:pos:R:3 pbc="T T T"
Ba 0.000 0.000 2.685
Ba 0.000 2.685 0.000
Ba 2.685 0.000 0.000
As 2.685 2.685 2.685
O 0.000 0.000 0.000
```

**Offset from the most stable computed form**: 23.0 meV per atom
**Crystal system**: cubic
**M_tot**: 0.0 μB/cell



Record 3
Compound: AcPmGdIn
Source: Alexandria via LeMat-Bulk
Functional: PBE-GGA
Structure: optimized geometry

```
4
Lattice="0.000 4.033 4.033 4.033 0.000 4.033 4.033 4.033 0.000" Properties=species:S:1:pos:R:3 pbc="T T T"
Ac 0.000 0.000 0.000
Pm 2.017 2.017 2.017
Gd 4.033 4.033 4.033
In 6.050 6.050 6.050
```

**Crystal system**: cubic
**M_tot**: 8.6 μB/cell
**Electronic total energy**: -6.525 eV/atom



Record 4
Compound: LiY2Te
Source: Alexandria via LeMat-Bulk
Functional: PBE-GGA
Structure: optimized geometry

```
4
Lattice="3.946 0.000 0.000 0.000 3.946 0.000 0.000 0.000 6.677" Properties=species:S:1:pos:R:3 pbc="T T T"
Li 0.000 0.000 0.000
Y 1.973 1.973 1.639
Y 1.973 1.973 5.038
Te 0.000 0.000 3.338
```

**Offset from the most stable computed form**: 117.4 meV per atom
**Crystal system**: tetragonal
**M_tot**: 0.9 μB/cell



Record 5
Compound: TiIn2Pd8
Source: Alexandria via LeMat-Bulk
Functional: PBE-GGA
Structure: optimized geometry

```
11
Lattice="7.130 -2.049 0.000 7.130 2.049 0.000 -1.919 0.000 6.109" Properties=species:S:1:pos:R:3 pbc="T T T"
Ti 0.000 0.000 0.000
In 3.340 0.000 2.114
In 9.001 0.000 3.995
Pd 0.470 0.000 2.710
Pd 0.741 0.000 5.580
Pd 3.620 0.000 5.037
Pd 6.054 0.000 1.660
Pd 6.287 0.000 4.449
Pd 8.721 0.000 1.073
Pd 11.600 0.000 0.529
Pd 11.871 0.000 3.399
```

**Crystal system**: monoclinic
**M_tot**: 0.0 μB/cell
**Electronic total energy**: -5.462 eV/atom



Record 6
Compound: LiLaTm2
Source: Alexandria via LeMat-Bulk
Functional: PBE-GGA
Structure: optimized geometry

```
4
Lattice="5.640 0.000 0.000 0.000 5.640 0.000 0.000 0.000 3.730" Properties=species:S:1:pos:R:3 pbc="T T T"
Li 0.000 0.000 0.000
La 2.820 2.820 0.000
Tm 0.000 2.820 1.865
Tm 2.820 0.000 1.865
```

**Offset from the most stable computed form**: 114.8 meV per atom
**Crystal system**: tetragonal
**M_tot**: 0.9 μB/cell



Record 7
Compound: NbTe3F
Source: Alexandria via LeMat-Bulk
Functional: PBE-GGA
Structure: optimized geometry

```
5
Lattice="4.901 0.000 0.000 0.000 4.901 0.000 0.000 0.000 4.901" Properties=species:S:1:pos:R:3 pbc="T T T"
Nb 0.000 0.000 0.000
Te 0.000 2.451 2.451
Te 2.451 0.000 2.451
Te 2.451 2.451 0.000
F 2.451 2.451 2.451
```

**Offset from the most stable computed form**: 477.7 meV per atom
**Crystal system**: cubic
**M_tot**: 2.3 μB/cell



Record 8
Compound: SnPt2Au2
Source: Alexandria via LeMat-Bulk
Functional: PBE-GGA
Structure: optimized geometry

```
10
Lattice="7.622 0.000 0.000 0.000 7.622 0.000 0.000 0.000 3.258" Properties=species:S:1:pos:R:3 pbc="T T T"
Sn 0.000 0.000 0.000
Sn 3.811 3.811 0.000
Pt 1.100 2.711 1.629
Pt 2.711 6.521 1.629
Pt 4.911 1.100 1.629
Pt 6.521 4.911 1.629
Au 1.158 4.969 0.000
Au 2.653 1.158 0.000
Au 4.969 6.464 0.000
Au 6.464 2.653 0.000
```

**Offset from the most stable computed form**: 182.1 meV per atom
**Crystal system**: tetragonal
**M_tot**: 0.0 μB/cell